An optimized crystal structure of TeMoRu2. Source: Alexandria, functional PBE-GGA.

Cell lengths 4.9413, 4.9413, 4.6542 Å; angles 83.87, 83.87, 35.78 degrees
Closest atoms and distances in Å follow each position.
Fractional positions:
Mo 0.2685 0.2685 0.2104  5 Ru 2.61-2.80, 1 Te 2.72
Ru 0.9999 0.9999 0.0051  3 Mo 2.74-2.80, 4 Te 2.74-2.82, 5 Ru 2.79-3.04
Ru 0.7326 0.7326 0.7695  2 Mo 2.61, 1 Te 2.61, 3 Ru 2.79-2.85
Te 0.4990 0.4990 0.5150  5 Ru 2.61-2.82, 1 Mo 2.72

Calculated values
Uncorrected formation energy   314 meV/atom
Fermi-level density of states   4.398 states/eV/cell